Below is a relaxed TaFeCl2 crystal, with properties calculated at the PBE-GGA level.

abc: 2.986 2.986 8.499
angles: 90.00 90.00 90.00
Each line ends with the local moment (μB).
Fractional coordinates of all 4 atoms:
Cl  0.000  0.000  0.921  -0.01
Ta  0.500  0.500  0.726  -0.41
Fe  0.000  0.000  0.509  2.62
Cl  0.500  0.500  0.344  0.14

- ΔE to the lowest computed polymorph (kcal/mol of atoms) = 5.825
- SG = No. 99
- Fermi-level density of states (states/eV/atom) = 1.04
- calculated density (g/cm3) = 6.74
- ΔE_f (raw) (eV per formula unit) = -0.9
- raw total energy (eV per formula unit) = -24.910
- volume (Å³/atom) = 18.95

Below is a relaxed TaFeCl crystal, with properties calculated at the PBE-GGA level.

abc: 3.178 3.178 6.639
angles: 90.00 90.00 120.00
Each line ends with the local moment (μB).
Fractional coordinates of all 3 atoms:
Fe  0.667  0.333  0.410  1.86
Cl  0.000  0.000  0.936  -0.02
Ta  0.333  0.667  0.654  -0.28

- ΔE to the lowest computed polymorph (kcal/mol of atoms) = 0.000
- SG = No. 156
- Fermi-level density of states (states/eV/atom) = 0.66
- calculated density (g/cm3) = 7.78
- ΔE_f (raw) (eV per formula unit) = 0.0
- raw total energy (eV per formula unit) = -22.115
- volume (Å³/atom) = 19.36